1:
VASP calculation (GGA-PBE) on a relaxed structure of TmSnAuSe3.

a = 7.131 Å, b = 7.131 Å, c = 10.553 Å
α = 90.00°, β = 90.00°, γ = 147.15°
Element x y z (fractional)
Tm 0.000 0.000 0.000
Tm 0.000 0.000 0.500
Sn 0.231 0.769 0.750
Sn 0.769 0.231 0.250
Au 0.464 0.536 0.250
Au 0.536 0.464 0.750
Se 0.095 0.905 0.250
Se 0.355 0.645 0.049
Se 0.355 0.645 0.451
Se 0.645 0.355 0.549
Se 0.645 0.355 0.951
Se 0.905 0.095 0.750



2:
VASP calculation (GGA-PBE) on a relaxed structure of TmSnAuSe3.

a = 9.292 Å, b = 9.292 Å, c = 8.452 Å
α = 101.51°, β = 101.51°, γ = 24.85°
Element x y z (fractional)
Tm 0.164 0.164 0.093
Tm 0.836 0.836 0.907
Sn 0.129 0.129 0.580
Sn 0.871 0.871 0.420
Au 0.453 0.453 0.782
Au 0.547 0.547 0.218
Se 0.000 0.000 0.000
Se 0.309 0.309 0.660
Se 0.326 0.326 0.141
Se 0.500 0.500 0.500
Se 0.674 0.674 0.859
Se 0.691 0.691 0.340



Which one is most stable, and which one is least stable? 1 is the most stable of them, while 2 is the least stable.